A plane-wave DFT calculation with PBE was carried out for a geometry-optimized ZrTaTc2 structure.

Values from the calculation:
**ΔH_f (0 K)**: -41.78 kJ per mole of atoms
**Symmetry**: Fm-3m, No. 225

a b c (Å): 4.567 6.468 13.709
angles (deg): 90.00 90.00 90.00
Atoms (fractional coordinates):
Tc: 0.000 0.250 0.833
Tc: 0.000 0.250 0.500
Tc: 0.500 0.250 0.667
Tc: 0.500 0.250 0.000
Tc: 0.000 0.250 0.167
Tc: 0.000 0.750 0.167
Tc: 0.000 0.750 0.500
Tc: 0.500 0.750 0.000
Tc: 0.000 0.750 0.833
Tc: 0.500 0.750 0.333
Tc: 0.500 0.250 0.333
Tc: 0.500 0.750 0.667
Zr: 0.000 0.500 0.667
Zr: 0.500 0.000 0.833
Zr: 0.500 0.000 0.500
Zr: 0.000 0.500 0.000
Zr: 0.500 0.000 0.167
Zr: 0.000 0.500 0.333
Ta: 0.500 0.500 0.833
Ta: 0.500 0.500 0.500
Ta: 0.500 0.500 0.167
Ta: 0.000 0.000 0.667
Ta: 0.000 0.000 0.000
Ta: 0.000 0.000 0.333